Compound: Nd2VZnO6
Source: the Alexandria database
Functional: PBE with a Hubbard U
Structure: optimized geometry

As for the calculated volume: 246.27 Å³/cell. For the magnetic moment, the calculation gives 1.00 μB/f.u. For the density of states at the Fermi level, the calculation gives 0.00 states/eV/atom. Its electronic total energy is -7.415 eV/atom.

It has space group P2_1/c (No. 14), with a = 5.495 Å, b = 5.775 Å, c = 9.470 Å, α = 90.00°, β = 124.97° and γ = 90.00°. The distinct sites, in fractional coordinates, are Nd at (0.229, 0.062, 0.249), V at (0.500, 0.000, 0.000), Zn at (0.000, 0.000, 0.500), O at (0.159, 0.194, 0.951), O at (0.253, 0.711, 0.945) and O at (0.362, 0.028, 0.765).